[1]
# RbPd3C (PBE-GGA, relaxed)
data_RbPd3C
_symmetry_space_group_name_H-M 'P m -3 m'
_symmetry_Int_Tables_number 221
_symmetry_space_group_name_Hall '-P 4 2 3'
_cell_length_a 4.383
_cell_length_b 4.383
_cell_length_c 4.383
_cell_angle_alpha 90.00
_cell_angle_beta 90.00
_cell_angle_gamma 90.00
loop_
_atom_site_label
_atom_site_type_symbol
_atom_site_fract_x
_atom_site_fract_y
_atom_site_fract_z
_atom_site_occupancy
Rb1 Rb 0.000 0.000 0.000 1
Pd1 Pd 0.000 0.500 0.500 1
C1 C 0.500 0.500 0.500 1
# Energy above the lowest structure with this stoichiometry = 0.000 eV per atom
# Total energy = -0.1723 Ha/atom

[2]
# Zr2ScOs (PBE-GGA, relaxed)
data_Zr2ScOs
_symmetry_space_group_name_H-M 'I -4 m 2'
_symmetry_Int_Tables_number 119
_symmetry_space_group_name_Hall 'I -4 -2'
_cell_length_a 4.023
_cell_length_b 4.023
_cell_length_c 9.769
_cell_angle_alpha 90.00
_cell_angle_beta 90.00
_cell_angle_gamma 90.00
loop_
_atom_site_label
_atom_site_type_symbol
_atom_site_fract_x
_atom_site_fract_y
_atom_site_fract_z
_atom_site_occupancy
Zr1 Zr 0.000 0.000 0.000 1
Zr2 Zr 0.000 0.500 0.250 1
Sc1 Sc 0.000 0.000 0.500 1
Os1 Os 0.000 0.500 0.750 1
# Total energy = -0.3189 Ha/atom

[3]
# LaPmHo (PBE-GGA, relaxed)
data_LaPmHo
_symmetry_space_group_name_H-M 'P 1 21/c 1'
_symmetry_Int_Tables_number 14
_symmetry_space_group_name_Hall '-P 2ybc'
_cell_length_a 9.161
_cell_length_b 7.289
_cell_length_c 6.337
_cell_angle_alpha 90.00
_cell_angle_beta 103.48
_cell_angle_gamma 90.00
loop_
_atom_site_label
_atom_site_type_symbol
_atom_site_fract_x
_atom_site_fract_y
_atom_site_fract_z
_atom_site_occupancy
La1 La 0.174 0.125 0.472 1
Pm1 Pm 0.175 0.625 0.473 1
Ho1 Ho 0.499 0.625 0.252 1
# Energy above the lowest structure with this stoichiometry = 0.011 eV per atom
# Total energy = -0.1735 Ha/atom